CrPS2Cl | the Alexandria database | meta-GGA SCAN | PBEsol geometry; SG = P4/mmm; ΔE_f (raw) = 555 kJ/mol of formula units
1.0
4.516 0.000 0.000
0.000 4.516 0.000
0.000 0.000 4.598
Cr P S Cl
1 1 2 1
Direct
0.000 0.000 0.000
0.500 0.500 0.000
0.000 0.500 0.500
0.500 0.000 0.500
0.500 0.500 0.500

ScCrP2Cl | the Alexandria database | meta-GGA SCAN | PBEsol geometry; SG = P4/mmm; ΔE_f (raw) = -137 kJ/mol of formula units
1.0
4.461 0.000 0.000
0.000 4.461 0.000
0.000 0.000 4.585
Sc Cr P Cl
1 1 2 1
Direct
0.000 0.000 0.000
0.500 0.500 0.500
0.000 0.500 0.500
0.500 0.000 0.500
0.500 0.500 0.000

CrSnPCl2 | the Alexandria database | meta-GGA SCAN | PBEsol geometry; SG = P4/mmm; ΔE_f (raw) = 100 kJ/mol of formula units
1.0
5.043 0.000 0.000
0.000 5.043 0.000
0.000 0.000 5.161
Cr Sn P Cl
1 1 1 2
Direct
0.000 0.000 0.000
0.500 0.500 0.500
0.500 0.500 0.000
0.000 0.500 0.500
0.500 0.000 0.500

CrTePCl2 | the Alexandria database | meta-GGA SCAN | PBEsol geometry; SG = P4/mmm; ΔE_f (raw) = -106 kJ/mol of formula units
1.0
4.484 0.000 0.000
0.000 4.484 0.000
0.000 0.000 5.123
Cr Te P Cl
1 1 1 2
Direct
0.000 0.000 0.000
0.500 0.500 0.500
0.000 0.000 0.500
0.000 0.500 0.000
0.500 0.000 0.000

ZnCrPCl2 | the Alexandria database | meta-GGA SCAN | PBEsol geometry; SG = P4/mmm; ΔE_f (raw) = 50 kJ/mol of formula units
1.0
4.438 0.000 0.000
0.000 4.438 0.000
0.000 0.000 5.879
Zn Cr P Cl
1 1 1 2
Direct
0.000 0.000 0.000
0.000 0.000 0.500
0.500 0.500 0.000
0.000 0.500 0.500
0.500 0.000 0.500

CrPbCl | the Alexandria database | meta-GGA SCAN | PBEsol geometry; polymorph energy (0 for the lowest one) = 0 meV/atom; SG = Fmm2; ΔE_f (raw) = -90 kJ/mol of formula units
1.0
0.000 2.818 7.387
1.712 0.000 7.387
1.712 2.818 0.000
Cr Pb Cl
1 1 1
Direct
0.000 0.000 0.000
0.334 0.334 0.666
0.605 0.605 0.395